Entry 1:
LaS2NCl | GGA-PBEsol | optimized geometry

Cell: 4.287 5.759 5.759 Å, 90.00 90.00 90.00°
Element x y z (fractional)
Cl: 0.500 0.500 0.500
S: 0.000 0.500 0.000
S: 0.000 0.000 0.500
N: 0.500 0.000 0.000
La: 0.000 0.000 0.000

Properties
Final energy (eV/atom): -4.39
Offset from the most stable computed form (kcal/mol of atoms): 2.67
Uncorrected formation energy (meV per atom): 535.5
SG: P4/mmm (123)
Crystal system: tetragonal

---

Entry 2:
Ba2PtBr | GGA-PBEsol | optimized geometry

Cell: 4.034 4.186 8.713 Å, 103.90 103.38 90.00°
Element x y z (fractional)
Ba: 0.717 0.217 0.434
Ba: 0.938 0.938 0.876
Pt: 0.299 0.799 0.598
Br: 0.546 0.546 0.092

Properties
Final energy (eV/atom): -4.34
Offset from the most stable computed form (kcal/mol of atoms): 3.36
Uncorrected formation energy (meV per atom): -1061.1
SG: Imm2 (44)
Crystal system: orthorhombic